The following is a PBE with a Hubbard U calculation of an optimized crystal structure of Ac3MgNi2O9, from Alexandria via LeMat-Bulk.

```
Ac3MgNi2O9
1.0
-3.7972 -2.2835 3.3837
5.2878 -1.7602 0.1532
1.4229 4.6888 4.7610
O Ac Mg Ni
9 3 1 2
Direct
0.5000 0.5000 0.0000 O
0.1704 0.3408 0.3269 O
0.0000 0.5000 0.0000 O
0.6592 0.8296 0.3269 O
0.3408 0.1704 0.6731 O
0.8296 0.6592 0.6731 O
0.1704 0.8296 0.3269 O
0.5000 0.0000 0.0000 O
0.8296 0.1704 0.6731 O
0.0000 0.0000 0.0000 Ac
0.3333 0.6667 0.6688 Ac
0.6667 0.3333 0.3312 Ac
0.0000 0.0000 0.5000 Mg
0.6667 0.3333 0.8330 Ni
0.3333 0.6667 0.1670 Ni
```

Results
E_tot	-6.56	eV per atom
symmetry	P-3m1, No. 164